This record from Alexandria via LeMat-Bulk describes a relaxed structure of VAs2PtF. The functional is GGA+U.

Properties
theoretical density	6.6	g/cm³
final energy	-4.3196	eV per atom
symmetry	No. 123
crystal system	tetragonal

Unit cell a=4.7129 b=4.7055 c=4.7129 alpha=90.00 beta=90.00 gamma=90.00
Fractional positions:
As  0.0000  0.0000  0.5000
As  0.5000  0.0000  0.0000
F  0.5000  0.5000  0.5000
V  0.0000  0.0000  0.0000
Pt  0.0000  0.5000  0.0000